# PuAgW, relaxed, DFT PBE-GGA
# distance to the lowest polymorph of the same formula: 454 meV/atom
# calculated density: 13.68 g cm⁻³
# raw total energy: -97.26 eV for the cell shown
# energy of formation: 1.865 eV/atom
data_PuAgW
_chemical_formula_sum 'Pu4 Ag4 W4'
_symmetry_space_group_name_H-M 'F -4 3 m'
_symmetry_Int_Tables_number 216
_symmetry_space_group_name_Hall 'F -4 2 3'
_cell_length_a 6.384
_cell_length_b 6.384
_cell_length_c 6.384
_cell_angle_alpha 90.00
_cell_angle_beta 90.00
_cell_angle_gamma 90.00
loop_
_atom_site_label
_atom_site_fract_x
_atom_site_fract_y
_atom_site_fract_z
Pu1 0.000 0.000 0.000
Ag1 0.250 0.250 0.250
W1 0.000 0.000 0.500

***

# La2Cu2SnGe, relaxed, DFT PBE-GGA
# calculated density: 7.01 g cm⁻³
# raw total energy: -29.65 eV for the cell shown
data_La2Cu2SnGe
_chemical_formula_sum 'La2 Cu2 Sn1 Ge1'
_symmetry_space_group_name_H-M 'P -6 m 2'
_symmetry_Int_Tables_number 187
_symmetry_space_group_name_Hall 'P -6 2'
_cell_length_a 4.4672
_cell_length_b 4.4672
_cell_length_c 8.1715
_cell_angle_alpha 90.00
_cell_angle_beta 90.00
_cell_angle_gamma 120.00
loop_
_atom_site_label
_atom_site_fract_x
_atom_site_fract_y
_atom_site_fract_z
La1 0.0000 0.0000 0.2401
Cu1 0.3333 0.6667 0.5000
Cu2 0.6667 0.3333 0.0000
Sn1 0.6667 0.3333 0.5000
Ge1 0.3333 0.6667 0.0000

***

# CsNaRe, relaxed, DFT PBE-GGA
# distance to the lowest polymorph of the same formula: 232 meV/atom
# calculated density: 4.76 g cm⁻³
# raw total energy: -31.03 eV for the cell shown
data_CsNaRe
_chemical_formula_sum 'Cs4 Na4 Re4'
_symmetry_space_group_name_H-M 'F -4 3 m'
_symmetry_Int_Tables_number 216
_symmetry_space_group_name_Hall 'F -4 2 3'
_cell_length_a 7.815
_cell_length_b 7.815
_cell_length_c 7.815
_cell_angle_alpha 90.00
_cell_angle_beta 90.00
_cell_angle_gamma 90.00
loop_
_atom_site_label
_atom_site_fract_x
_atom_site_fract_y
_atom_site_fract_z
Cs1 0.000 0.000 0.000
Na1 0.250 0.250 0.750
Re1 0.250 0.250 0.250

***

# Sc4CdBiN2, relaxed, DFT PBE-GGA
# calculated density: 6.31 g cm⁻³
# raw total energy: -55.74 eV for the cell shown
data_Sc4CdBiN2
_chemical_formula_sum 'Sc4 Cd1 Bi1 N2'
_symmetry_space_group_name_H-M 'P -6 m 2'
_symmetry_Int_Tables_number 187
_symmetry_space_group_name_Hall 'P -6 2'
_cell_length_a 3.3090
_cell_length_b 3.3090
_cell_length_c 14.6886
_cell_angle_alpha 90.00
_cell_angle_beta 90.00
_cell_angle_gamma 120.00
loop_
_atom_site_label
_atom_site_fract_x
_atom_site_fract_y
_atom_site_fract_z
Sc1 0.0000 0.0000 0.1700
Sc2 0.3333 0.6667 0.3300
Cd1 0.0000 0.0000 0.5000
Bi1 0.3333 0.6667 0.0000
N1 0.6667 0.3333 0.2469

***

# LiTaAgSe2S, relaxed, DFT PBE-GGA
# calculated density: 6.40 g cm⁻³
# raw total energy: -123.61 eV for the cell shown
data_LiTaAgSe2S
_chemical_formula_sum 'Li4 Ta4 Ag4 Se8 S4'
_symmetry_space_group_name_H-M 'C m c m'
_symmetry_Int_Tables_number 63
_symmetry_space_group_name_Hall '-C 2c 2'
_cell_length_a 3.646
_cell_length_b 13.627
_cell_length_c 10.141
_cell_angle_alpha 90.00
_cell_angle_beta 90.00
_cell_angle_gamma 90.00
loop_
_atom_site_label
_atom_site_fract_x
_atom_site_fract_y
_atom_site_fract_z
Li1 0.000 0.182 0.250
Ta1 0.000 0.500 0.000
Ag1 0.000 0.082 0.750
Se1 0.000 0.140 0.515
S1 0.000 0.441 0.750

***

# HfCuAu, relaxed, DFT PBE-GGA
# distance to the lowest polymorph of the same formula: 492 meV/atom
# calculated density: 11.83 g cm⁻³
# raw total energy: -66.13 eV for the cell shown
# energy of formation: 0.135 eV/atom
data_HfCuAu
_chemical_formula_sum 'Hf4 Cu4 Au4'
_symmetry_space_group_name_H-M 'F -4 3 m'
_symmetry_Int_Tables_number 216
_symmetry_space_group_name_Hall 'F -4 2 3'
_cell_length_a 6.269
_cell_length_b 6.269
_cell_length_c 6.269
_cell_angle_alpha 90.00
_cell_angle_beta 90.00
_cell_angle_gamma 90.00
loop_
_atom_site_label
_atom_site_fract_x
_atom_site_fract_y
_atom_site_fract_z
Hf1 0.000 0.000 0.000
Cu1 0.250 0.250 0.250
Au1 0.250 0.250 0.750

***

# RbHgSbTe3, relaxed, DFT PBE-GGA
# calculated density: 6.04 g cm⁻³
# raw total energy: -68.86 eV for the cell shown
data_RbHgSbTe3
_chemical_formula_sum 'Rb4 Hg4 Sb4 Te12'
_symmetry_space_group_name_H-M 'C m c m'
_symmetry_Int_Tables_number 63
_symmetry_space_group_name_Hall '-C 2c 2'
_cell_length_a 4.585
_cell_length_b 16.103
_cell_length_c 11.783
_cell_angle_alpha 90.00
_cell_angle_beta 90.00
_cell_angle_gamma 90.00
loop_
_atom_site_label
_atom_site_fract_x
_atom_site_fract_y
_atom_site_fract_z
Rb1 0.000 0.249 0.250
Hg1 0.000 0.451 0.750
Sb1 0.000 0.000 0.000
Te1 0.000 0.065 0.750
Te2 0.000 0.370 0.536

***

# LiCoAsOs, relaxed, DFT PBE-GGA
# distance to the lowest polymorph of the same formula: 0 meV/atom
# calculated density: 11.46 g cm⁻³
# raw total energy: -99.38 eV for the cell shown
data_LiCoAsOs
_chemical_formula_sum 'Li4 Co4 As4 Os4'
_symmetry_space_group_name_H-M 'F -4 3 m'
_symmetry_Int_Tables_number 216
_symmetry_space_group_name_Hall 'F -4 2 3'
_cell_length_a 5.768
_cell_length_b 5.768
_cell_length_c 5.768
_cell_angle_alpha 90.00
_cell_angle_beta 90.00
_cell_angle_gamma 90.00
loop_
_atom_site_label
_atom_site_fract_x
_atom_site_fract_y
_atom_site_fract_z
Li1 0.000 0.000 0.000
Co1 0.250 0.250 0.750
As1 0.000 0.000 0.500
Os1 0.250 0.250 0.250

***

> Which value of raw total energy does entry 7 give?

-68.86 eV for the cell shown